{"formula": "SbW2Br", "functional": "meta-GGA SCAN", "state": "PBEsol geometry", "e_form_raw_kj_per_mol_fu": 500, "lattice_angstrom": [[3.247, 0.000, 0.000], [0.000, 3.247, 0.000], [0.000, 0.000, 6.509]], "species": ["Sb", "W", "W", "Br"], "frac_coords": [[0.000, 0.000, 0.000], [0.500, 0.500, 0.244], [0.500, 0.500, 0.756], [0.000, 0.000, 0.500]]}

***

{"formula": "FeBMo3", "functional": "meta-GGA SCAN", "state": "PBEsol geometry", "lattice_angstrom": [[4.318, 0.000, 0.000], [0.000, 4.318, 0.000], [0.000, 0.000, 4.318]], "species": ["Fe", "B", "Mo", "Mo", "Mo"], "frac_coords": [[0.000, 0.000, 0.000], [0.500, 0.500, 0.500], [0.000, 0.000, 0.500], [0.000, 0.500, 0.000], [0.500, 0.000, 0.000]]}

***

{"formula": "CoAgHg2", "functional": "meta-GGA SCAN", "state": "PBEsol geometry", "lattice_angstrom": [[2.971, 0.000, 0.000], [0.000, 2.971, 0.000], [0.000, 0.000, 7.500]], "species": ["Co", "Ag", "Hg", "Hg"], "frac_coords": [[0.000, 0.000, 0.000], [0.000, 0.000, 0.500], [0.500, 0.500, 0.224], [0.500, 0.500, 0.776]]}

***

{"formula": "SrC3", "functional": "meta-GGA SCAN", "state": "PBEsol geometry", "lattice_angstrom": [[5.835, 0.000, 0.000], [0.000, 5.835, 0.000], [0.000, 0.000, 5.835]], "species": ["Sr", "Sr", "Sr", "Sr", "C", "C", "C", "C", "C", "C", "C", "C", "C", "C", "C", "C"], "frac_coords": [[0.000, 0.000, 0.000], [0.000, 0.500, 0.500], [0.500, 0.000, 0.500], [0.500, 0.500, 0.000], [0.000, 0.000, 0.500], [0.000, 0.500, 0.000], [0.250, 0.250, 0.250], [0.250, 0.250, 0.750], [0.250, 0.750, 0.250], [0.250, 0.750, 0.750], [0.500, 0.000, 0.000], [0.500, 0.500, 0.500], [0.750, 0.250, 0.250], [0.750, 0.250, 0.750], [0.750, 0.750, 0.250], [0.750, 0.750, 0.750]]}

***

{"formula": "Bi2OsRu", "functional": "meta-GGA SCAN", "state": "PBEsol geometry", "lattice_angstrom": [[6.712, 0.000, 0.000], [0.000, 6.712, 0.000], [0.000, 0.000, 6.712]], "species": ["Bi", "Bi", "Bi", "Bi", "Bi", "Bi", "Bi", "Bi", "Os", "Os", "Os", "Os", "Ru", "Ru", "Ru", "Ru"], "frac_coords": [[0.250, 0.250, 0.250], [0.250, 0.250, 0.750], [0.250, 0.750, 0.250], [0.250, 0.750, 0.750], [0.750, 0.250, 0.250], [0.750, 0.250, 0.750], [0.750, 0.750, 0.250], [0.750, 0.750, 0.750], [0.000, 0.000, 0.000], [0.000, 0.500, 0.500], [0.500, 0.000, 0.500], [0.500, 0.500, 0.000], [0.000, 0.000, 0.500], [0.000, 0.500, 0.000], [0.500, 0.000, 0.000], [0.500, 0.500, 0.500]]}

***

{"formula": "Ba2TlRh", "functional": "meta-GGA SCAN", "state": "PBEsol geometry", "lattice_angstrom": [[11.196, 0.000, 0.000], [0.000, 11.196, 0.000], [0.000, 0.000, 5.272]], "species": ["Ba", "Ba", "Ba", "Ba", "Ba", "Ba", "Ba", "Ba", "Tl", "Tl", "Tl", "Tl", "Rh", "Rh", "Rh", "Rh"], "frac_coords": [[0.081, 0.750, 0.125], [0.250, 0.081, 0.875], [0.250, 0.419, 0.375], [0.419, 0.750, 0.625], [0.581, 0.250, 0.625], [0.750, 0.581, 0.375], [0.750, 0.919, 0.875], [0.919, 0.250, 0.125], [0.000, 0.000, 0.500], [0.000, 0.500, 0.750], [0.500, 0.000, 0.250], [0.500, 0.500, 0.000], [0.000, 0.000, 0.000], [0.000, 0.500, 0.250], [0.500, 0.000, 0.750], [0.500, 0.500, 0.500]]}

***

{"formula": "ReAuSe2", "functional": "meta-GGA SCAN", "state": "PBEsol geometry", "e_form_raw_kj_per_mol_fu": 415, "lattice_angstrom": [[3.931, 0.000, 0.000], [0.000, 3.931, 0.000], [0.000, 0.000, 8.664]], "species": ["Re", "Re", "Au", "Au", "Se", "Se", "Se", "Se"], "frac_coords": [[0.000, 0.000, 0.000], [0.500, 0.500, 0.500], [0.000, 0.500, 0.750], [0.500, 0.000, 0.250], [0.000, 0.000, 0.500], [0.000, 0.500, 0.250], [0.500, 0.000, 0.750], [0.500, 0.500, 0.000]]}

***

{"formula": "HgSbPb", "functional": "meta-GGA SCAN", "state": "PBEsol geometry", "e_form_raw_kj_per_mol_fu": 28, "lattice_angstrom": [[5.209, 0.000, 0.000], [-2.604, 4.511, 0.000], [0.000, 0.000, 3.395]], "species": ["Hg", "Sb", "Pb"], "frac_coords": [[0.000, 0.000, 0.000], [0.667, 0.333, 0.742], [0.333, 0.667, 0.394]]}

***

Number 1: uncorrected energy -190.91 eV/cell, M_tot 0.0000 μB/atom. Number 2: uncorrected energy -120.61 eV/cell, M_tot 0.0000 μB/atom. Number 3: uncorrected energy -183.72 eV/cell, M_tot 0.3972 μB/atom. Number 4: uncorrected energy -159.87 eV/cell, M_tot 0.2845 μB/atom. Number 5: uncorrected energy -1040.57 eV/cell, M_tot 0.3086 μB/atom. Number 6: uncorrected energy -745.17 eV/cell, M_tot 0.0000 μB/atom. Number 7: uncorrected energy -352.22 eV/cell, M_tot 0.0001 μB/atom. Number 8: uncorrected energy -180.92 eV/cell, M_tot 0.0001 μB/atom.